(one)
VASP calculation (PBE) on a relaxed structure of La2Pm7Pr3.

```
La2Pm7Pr3
1.0
3.622 0.000 0.000
0.000 6.489 0.832
0.000 2.207 18.412
La Pm Pr
2 7 3
direct
0.500 0.614 0.330
0.500 0.386 0.670
0.500 0.243 0.500
0.500 0.757 0.500
0.000 0.563 0.164
0.000 0.000 0.000
0.000 0.437 0.836
0.500 0.939 0.834
0.500 0.061 0.166
0.500 0.500 0.000
0.000 0.114 0.340
0.000 0.886 0.660
```

Results
DOS(E_F), states/eV/f.u.: 19.64
Symmetry: P2/m
Crystal system: monoclinic

***

(two)
VASP calculation (PBE) on a relaxed structure of La2Pm7Pr3.

```
La2Pm7Pr3
1.0
-3.484 1.112 0.285
-1.816 -4.924 -2.984
-0.182 -5.494 19.237
La Pm Pr
2 7 3
direct
0.500 0.582 0.295
0.500 0.418 0.705
0.500 0.720 0.464
0.500 0.280 0.536
0.000 0.453 0.143
0.000 0.000 0.000
0.000 0.547 0.857
0.500 0.018 0.827
0.500 0.982 0.173
0.500 0.500 0.000
0.000 0.144 0.368
0.000 0.856 0.632
```

Results
DOS(E_F), states/eV/f.u.: 16.24
Symmetry: P2/m
Crystal system: monoclinic

***

(one) is favored, and the nearest alternative lies 1.0 kJ/mol of atoms above it.

***

(one)
VASP calculation (PBE) on a relaxed structure of La3PmPr.

```
La3PmPr
1.0
6.246 -0.076 -2.423
-1.255 11.622 -3.186
-1.241 -2.244 6.203
La Pm Pr
6 2 2
direct
0.697 0.539 0.385
0.523 0.188 0.663
0.303 0.461 0.615
0.120 0.188 0.846
0.477 0.812 0.337
0.880 0.812 0.154
0.293 0.814 0.749
0.707 0.186 0.251
0.000 0.500 0.000
0.000 0.000 0.000
```

Results
DOS(E_F), states/eV/f.u.: 7.89
Symmetry: P-1
Crystal system: triclinic

***

(two)
VASP calculation (PBE) on a relaxed structure of La3PmPr.

```
La3PmPr
1.0
-2.206 5.357 -1.955
2.592 -3.731 -3.587
-10.837 -5.306 -2.313
La Pm Pr
6 2 2
direct
0.048 0.096 0.750
0.952 0.904 0.250
0.354 0.709 0.602
0.646 0.291 0.398
0.646 0.291 0.102
0.354 0.709 0.898
0.301 0.602 0.250
0.699 0.398 0.750
0.000 0.000 0.500
0.000 0.000 0.000
```

Results
DOS(E_F), states/eV/f.u.: 7.45
Symmetry: Cmcm
Crystal system: orthorhombic

***

(one) is favored, and the nearest alternative lies 4.8 kJ/mol of atoms above it.

***

(one)
VASP calculation (PBE) on a relaxed structure of La2Pm2Pr.

```
La2Pm2Pr
1.0
-6.003 2.264 -0.330
-2.357 -6.592 -2.350
-0.344 -5.010 14.401
La Pm Pr
8 8 4
direct
0.449 0.125 0.100
0.949 0.375 0.100
0.051 0.625 0.900
0.551 0.875 0.900
0.750 0.375 0.500
0.250 0.125 0.500
0.750 0.875 0.500
0.250 0.625 0.500
0.449 0.625 0.100
0.949 0.875 0.100
0.051 0.125 0.900
0.551 0.375 0.900
0.351 0.374 0.299
0.851 0.126 0.299
0.149 0.874 0.701
0.649 0.626 0.701
0.849 0.625 0.299
0.151 0.375 0.701
0.349 0.875 0.299
0.651 0.125 0.701
```

Results
DOS(E_F), states/eV/f.u.: 9.10
Symmetry: P2_1/c
Crystal system: monoclinic

***

(two)
VASP calculation (PBE) on a relaxed structure of La2Pm2Pr.

```
La2Pm2Pr
1.0
-3.088 1.345 -1.708
-5.020 -0.864 8.397
2.600 9.136 2.494
La Pm Pr
4 4 2
direct
0.500 0.174 0.674
0.500 0.674 0.826
0.500 0.826 0.326
0.500 0.326 0.174
0.000 0.374 0.874
0.000 0.874 0.626
0.000 0.626 0.126
0.000 0.126 0.374
0.000 0.000 0.000
0.000 0.500 0.500
```

Results
DOS(E_F), states/eV/f.u.: 6.26
Symmetry: P4/mbm
Crystal system: tetragonal

***

(one) is favored, and the nearest alternative lies 7.7 kJ/mol of atoms above it.